# Nd3Ho3TlIn2

An optimized crystal structure of Nd3Ho3TlIn2 (PBE, the Alexandria database).

```
Nd3Ho3TlIn2
1.0
-1.0594 1.9155 3.0660
2.2873 -7.0959 5.2237
6.1580 6.4323 -1.8909
Ho Nd In Tl
3 3 2 1
Direct
0.0000 0.3833 0.0000 Ho
0.0000 0.6167 0.6167 Ho
0.0000 0.0000 0.3833 Ho
0.5000 0.7106 0.0000 Nd
0.5000 0.2894 0.2894 Nd
0.5000 0.0000 0.7106 Nd
0.5000 0.3333 0.6667 In
0.5000 0.6667 0.3333 In
0.0000 0.0000 0.0000 Tl
```

Calculated values
ΔH_f (0 K) ... -0.272 eV/atom
Space-group type ... P-62m